! K3Cu2F6 PBE relaxed; values from VASP
! space group	I4/mmm (139)
! raw total energy	-4.217	eV per atom
! E_form (uncorrected)	-2.15	eV/atom
&SYSTEM
  ibrav = 0, nat = 11, ntyp = 3
/
ATOMIC_SPECIES
K 39.10 K.upf
Cu 63.55 Cu.upf
F 19.00 F.upf
CELL_PARAMETERS angstrom
-1.880 -1.051 -3.392
0.593 -3.877 0.873
-8.875 2.213 6.613
ATOMIC_POSITIONS crystal
K 0.000 0.000 0.000
K 0.814 0.814 0.629
K 0.186 0.186 0.371
Cu 0.405 0.405 0.809
Cu 0.595 0.595 0.191
F 0.084 0.584 0.168
F 0.584 0.084 0.168
F 0.916 0.416 0.832
F 0.416 0.916 0.832
F 0.694 0.694 0.389
F 0.306 0.306 0.611